one:
# ReMoAs2

A PBEsol-optimized structure of ReMoAs2 (SCAN, Alexandria).

abc: 4.344 4.344 3.061
angles: 90.00 90.00 90.00
Sites, in units of the cell vectors:
Re (0.000, 0.000, 0.000)
Mo (0.500, 0.500, 0.000)
As (0.000, 0.500, 0.500)
As (0.500, 0.000, 0.500)

The value obtained for the total magnetization is 0.00 μB per cell. The volume is 14.44 Å³/atom.

=====

two:
# ReMoAs2

A PBEsol-optimized structure of ReMoAs2 (SCAN, Alexandria).

abc: 3.062 4.013 5.057
angles: 90.00 90.00 90.00
Sites, in units of the cell vectors:
Re (0.000, 0.000, 0.000)
Mo (0.500, 0.000, 0.500)
As (0.000, 0.500, 0.500)
As (0.500, 0.500, 0.000)

The value obtained for the total magnetization is 0.00 μB per cell. The volume is 15.54 Å³/atom.

=====

Relative stability in kJ/mol of atoms, measured from the most stable structure: one 0.0; two 40.9